This record from Alexandria via LeMat-Bulk describes a geometry-optimized Ag3IrO4 structure. The functional is PBE-GGA.

a b c (Å): 7.6409 7.6409 7.9067
angles (deg): 90.00 90.00 90.00
Fractional coordinates of all 32 atoms:
Ag: 0.0000 0.1941 0.0000
Ag: 0.0000 0.2047 0.5000
Ag: 0.0000 0.7953 0.0000
Ag: 0.0000 0.8059 0.5000
Ag: 0.1831 0.5000 0.2500
Ag: 0.1941 0.0000 0.7500
Ag: 0.2047 0.0000 0.2500
Ag: 0.5000 0.1831 0.5000
Ag: 0.5000 0.8169 0.0000
Ag: 0.7953 0.0000 0.7500
Ag: 0.8059 0.0000 0.2500
Ag: 0.8169 0.5000 0.7500
Ir: 0.2756 0.5000 0.7500
Ir: 0.5000 0.2756 0.0000
Ir: 0.5000 0.7244 0.5000
Ir: 0.7244 0.5000 0.2500
O: 0.0897 0.3269 0.7370
O: 0.0897 0.6731 0.7630
O: 0.3114 0.4584 0.9944
O: 0.3114 0.5416 0.5056
O: 0.3269 0.0897 0.0130
O: 0.3269 0.9103 0.4870
O: 0.4584 0.3114 0.7556
O: 0.4584 0.6886 0.7444
O: 0.5416 0.3114 0.2444
O: 0.5416 0.6886 0.2556
O: 0.6731 0.0897 0.9870
O: 0.6731 0.9103 0.5130
O: 0.6886 0.4584 0.0056
O: 0.6886 0.5416 0.4944
O: 0.9103 0.3269 0.2630
O: 0.9103 0.6731 0.2370

- formation energy (no corrections) (meV/atom) = -276.2


This record from Alexandria via LeMat-Bulk describes a geometry-optimized Li2TaGeRu structure. The functional is PBE-GGA.

a b c (Å): 4.5201 4.5201 4.7274
angles (deg): 90.00 90.00 90.00
Fractional coordinates of all 5 atoms:
Li: 0.0000 0.5000 0.0000
Li: 0.5000 0.0000 0.0000
Ta: 0.0000 0.0000 0.5000
Ge: 0.5000 0.5000 0.5000
Ru: 0.0000 0.0000 0.0000

- ΔH_f (0 K) (eV/f.u.) = 3.798


This record from Alexandria via LeMat-Bulk describes a geometry-optimized Pm19Sm4Dy6 structure. The functional is PBE-GGA.

a b c (Å): 10.9597 10.9597 10.9597
angles (deg): 109.47 109.47 109.47
Fractional coordinates of all 29 atoms:
Pm: 0.0000 0.0000 0.0000
Pm: 0.0000 0.2588 0.2588
Pm: 0.0000 0.7412 0.7412
Pm: 0.0190 0.2208 0.6770
Pm: 0.2018 0.9810 0.6580
Pm: 0.2208 0.6770 0.0190
Pm: 0.2588 0.0000 0.2588
Pm: 0.2588 0.2588 0.0000
Pm: 0.3230 0.5438 0.3420
Pm: 0.3420 0.3230 0.5438
Pm: 0.4562 0.7792 0.7982
Pm: 0.5438 0.3420 0.3230
Pm: 0.6580 0.2018 0.9810
Pm: 0.6770 0.0190 0.2208
Pm: 0.7412 0.0000 0.7412
Pm: 0.7412 0.7412 0.0000
Pm: 0.7792 0.7982 0.4562
Pm: 0.7982 0.4562 0.7792
Pm: 0.9810 0.6580 0.2018
Sm: 0.0000 0.0000 0.3636
Sm: 0.0000 0.3636 0.0000
Sm: 0.3636 0.0000 0.0000
Sm: 0.6364 0.6364 0.6364
Dy: 0.1241 0.5000 0.6241
Dy: 0.3759 0.8759 0.5000
Dy: 0.5000 0.3759 0.8759
Dy: 0.5000 0.6241 0.1241
Dy: 0.6241 0.1241 0.5000
Dy: 0.8759 0.5000 0.3759

- ΔH_f (0 K) (eV/f.u.) = 10.597


This record from Alexandria via LeMat-Bulk describes a geometry-optimized TaBe2HgBr structure. The functional is PBE-GGA.

a b c (Å): 4.8899 4.8899 5.4886
angles (deg): 90.00 90.00 90.00
Fractional coordinates of all 5 atoms:
Ta: 0.0000 0.0000 0.0000
Be: 0.0000 0.5000 0.0000
Be: 0.5000 0.0000 0.0000
Hg: 0.0000 0.0000 0.5000
Br: 0.5000 0.5000 0.5000

- formation energy (no corrections) (meV/atom) = 1456.3